Record 1
! SrDy2Fe (PBE, relaxed); values from VASP
&SYSTEM
  ibrav = 0, nat = 4, ntyp = 3
/
ATOMIC_SPECIES
Sr 87.62 Sr.upf
Dy 162.50 Dy.upf
Fe 55.84 Fe.upf
ATOMIC_POSITIONS crystal
Sr 0.000 0.000 0.000
Dy 0.118 0.118 0.118
Dy 0.882 0.882 0.882
Fe 0.500 0.500 0.500
CELL_PARAMETERS angstrom
1.898 1.096 10.643
-1.898 1.096 10.643
0.000 -2.192 10.643
! Crystal system: trigonal
! ΔE_f, meV per atom: 315


Record 2
! YPaTc (PBE, relaxed); values from VASP
&SYSTEM
  ibrav = 0, nat = 12, ntyp = 3
/
ATOMIC_SPECIES
Y 88.91 Y.upf
Pa 231.04 Pa.upf
Tc 98.00 Tc.upf
ATOMIC_POSITIONS crystal
Y 0.021 0.250 0.161
Y 0.479 0.750 0.661
Y 0.521 0.250 0.339
Y 0.979 0.750 0.839
Pa 0.135 0.250 0.586
Pa 0.365 0.750 0.086
Pa 0.635 0.250 0.914
Pa 0.865 0.750 0.414
Tc 0.191 0.750 0.398
Tc 0.309 0.250 0.898
Tc 0.691 0.750 0.102
Tc 0.809 0.250 0.602
CELL_PARAMETERS angstrom
7.434 0.000 0.000
0.000 4.730 0.000
0.000 0.000 8.361
! Crystal system: orthorhombic
! ΔE_f, meV per atom: -147


Record 3
! CeErI (PBE, relaxed); values from VASP
&SYSTEM
  ibrav = 0, nat = 3, ntyp = 3
/
ATOMIC_SPECIES
Ce 140.12 Ce.upf
Er 167.26 Er.upf
I 126.90 I.upf
ATOMIC_POSITIONS crystal
Ce 0.000 0.000 0.000
Er 0.667 0.333 0.500
I 0.333 0.667 0.500
CELL_PARAMETERS angstrom
5.363 0.000 0.000
-2.682 4.645 0.000
0.000 0.000 3.707
! Crystal system: hexagonal
! ΔE_f (raw), kJ/mol of atoms: -13.77


Record 4
! Tl2Ga5Sn3 (PBE, relaxed); values from VASP
&SYSTEM
  ibrav = 0, nat = 20, ntyp = 3
/
ATOMIC_SPECIES
Tl 204.38 Tl.upf
Ga 69.72 Ga.upf
Sn 118.71 Sn.upf
ATOMIC_POSITIONS crystal
Tl 0.121 0.247 0.369
Tl 0.379 0.747 0.126
Tl 0.621 0.253 0.874
Tl 0.879 0.753 0.631
Ga 0.007 0.750 0.257
Ga 0.136 0.628 0.764
Ga 0.250 0.250 0.000
Ga 0.364 0.128 0.492
Ga 0.493 0.750 0.743
Ga 0.507 0.250 0.257
Ga 0.636 0.872 0.508
Ga 0.750 0.750 0.000
Ga 0.864 0.372 0.236
Ga 0.993 0.250 0.743
Sn 0.128 0.868 0.996
Sn 0.250 0.750 0.500
Sn 0.372 0.368 0.740
Sn 0.628 0.632 0.260
Sn 0.750 0.250 0.500
Sn 0.872 0.132 0.004
CELL_PARAMETERS angstrom
-5.599 6.742 3.414
5.599 -6.742 3.414
5.599 6.742 -3.414
! Crystal system: orthorhombic
! ΔE_f, meV per atom: 22


Short version: calculated volume = 133, 294, 92, 516 Å³ per cell, in the order given.